Entry P
{
  "formula": "NbAlSn3",
  "functional": "GGA-PBE",
  "state": "relaxed",
  "lattice": [[-2.5181, 2.4196, -4.1027], [-4.5277, -2.6566, 1.2123], [-1.4786, 4.0144, 3.2750]],
  "species": ["Nb", "Sn", "Sn", "Sn", "Al"],
  "frac_coords": [[0.0000, 0.0000, 0.0000], [0.0000, 0.5000, 0.0000], [0.0000, 0.0000, 0.5000], [0.5000, 0.0000, 0.0000], [0.5000, 0.5000, 0.5000]],
  "sg": "Pm-3m, No. 221",
  "total_magnetization_mub_per_cell": 0.0
}


Entry Q
{
  "formula": "NbAlSn3",
  "functional": "GGA-PBE",
  "state": "relaxed",
  "lattice": [[-2.4799, -3.7378, -2.5150], [-1.7065, -1.8775, 4.4731], [-4.1694, 2.9917, -0.3350]],
  "species": ["Nb", "Sn", "Sn", "Sn", "Al"],
  "frac_coords": [[0.5000, 0.5000, 0.5000], [0.0000, 0.5000, 0.0000], [0.0000, 0.0000, 0.5000], [0.5000, 0.0000, 0.0000], [0.0000, 0.0000, 0.0000]],
  "sg": "Pm-3m, No. 221",
  "total_magnetization_mub_per_cell": 0.1
}


Most stable to least stable, the ends of the list are entry P and entry Q.


Entry P
{
  "formula": "TaNbAl",
  "functional": "GGA-PBE",
  "state": "relaxed",
  "lattice": [[4.7788, 0.0391, -1.2617], [-2.7405, 3.9152, -1.2617], [0.0857, 0.1662, 5.5127]],
  "species": ["Ta", "Ta", "Nb", "Nb", "Al", "Al"],
  "frac_coords": [[0.1175, 0.8825, 0.5000], [0.3675, 0.6325, 0.0000], [0.4451, 0.5549, 0.5000], [0.6951, 0.3049, 0.0000], [0.0309, 0.9691, 0.0000], [0.7809, 0.2191, 0.5000]],
  "sg": "Fdd2, No. 43",
  "total_magnetization_mub_per_cell": 0.0
}


Entry Q
{
  "formula": "TaNbAl",
  "functional": "GGA-PBE",
  "state": "relaxed",
  "lattice": [[2.7413, 0.0000, 0.0000], [0.0000, 2.7413, 0.0000], [-1.3707, -1.3707, 7.8611]],
  "species": ["Nb", "Al", "Ta"],
  "frac_coords": [[0.1245, 0.1245, 0.2490], [0.9497, 0.9497, 0.8994], [0.7758, 0.7758, 0.5515]],
  "sg": "I4mm, No. 107",
  "total_magnetization_mub_per_cell": 0.0
}


Entry R
{
  "formula": "TaNbAl",
  "functional": "GGA-PBE",
  "state": "relaxed",
  "lattice": [[-1.7674, -0.0199, -2.1225], [-2.0968, -3.8016, 1.7818], [-1.4926, 4.2836, 1.2027]],
  "species": ["Nb", "Al", "Ta"],
  "frac_coords": [[0.0062, 0.0000, 0.0000], [0.6730, 0.3333, 0.6667], [0.3208, 0.6667, 0.3333]],
  "sg": "P3m1, No. 156",
  "total_magnetization_mub_per_cell": 0.0
}


Entry S
{
  "formula": "TaNbAl",
  "functional": "GGA-PBE",
  "state": "relaxed",
  "lattice": [[4.9725, 1.6414, -0.8792], [3.7421, 4.1875, -0.5077], [1.7001, 1.9909, 6.8921]],
  "species": ["Ta", "Ta", "Nb", "Nb", "Al", "Al"],
  "frac_coords": [[0.4032, 0.0939, 0.6798], [0.7481, 0.1325, 0.3605], [0.0756, 0.1131, 0.0202], [0.0756, 0.6132, 0.0202], [0.6454, 0.7317, 0.3507], [0.5059, 0.4947, 0.6897]],
  "sg": "P-1, No. 2",
  "total_magnetization_mub_per_cell": 0.0
}


Most stable to least stable, the ends of the list are entry S and entry Q.


Entry P
{
  "formula": "TaNb2Al2",
  "functional": "GGA-PBE",
  "state": "relaxed",
  "lattice": [[7.0099, 0.0000, 0.0000], [0.0000, 7.0099, 0.0000], [0.0000, 0.0000, 3.4888]],
  "species": ["Nb", "Nb", "Nb", "Nb", "Al", "Al", "Al", "Al", "Ta", "Ta"],
  "frac_coords": [[0.1748, 0.6748, 0.5000], [0.6748, 0.8252, 0.5000], [0.8252, 0.3252, 0.5000], [0.3252, 0.1748, 0.5000], [0.3742, 0.8742, 0.0000], [0.8742, 0.6258, 0.0000], [0.6258, 0.1258, 0.0000], [0.1258, 0.3742, 0.0000], [0.0000, 0.0000, 0.0000], [0.5000, 0.5000, 0.0000]],
  "sg": "P4/mbm, No. 127",
  "total_magnetization_mub_per_cell": 0.0
}


Entry Q
{
  "formula": "TaNb2Al2",
  "functional": "GGA-PBE",
  "state": "relaxed",
  "lattice": [[7.9592, 0.0000, 0.0000], [0.0000, 7.9592, 0.0000], [0.0000, 0.0000, 2.8197]],
  "species": ["Nb", "Nb", "Nb", "Nb", "Al", "Al", "Al", "Al", "Ta", "Ta"],
  "frac_coords": [[0.3802, 0.8802, 0.0000], [0.8802, 0.6198, 0.0000], [0.6198, 0.1198, 0.0000], [0.1198, 0.3802, 0.0000], [0.1786, 0.6786, 0.5000], [0.6786, 0.8214, 0.5000], [0.8214, 0.3214, 0.5000], [0.3214, 0.1786, 0.5000], [0.0000, 0.0000, 0.0000], [0.5000, 0.5000, 0.0000]],
  "sg": "P4/mbm, No. 127",
  "total_magnetization_mub_per_cell": 0.0
}


Most stable to least stable, the ends of the list are entry P and entry Q.